# Sn2TeBr | Alexandria | PBE | optimized geometry
data_Sn2TeBr
_chemical_formula_sum 'Sn8 Te4 Br4'
_cell_length_a 7.704
_cell_length_b 7.704
_cell_length_c 7.704
_cell_angle_alpha 90.00
_cell_angle_beta 90.00
_cell_angle_gamma 90.00
_space_group_name_H-M_alt 'F m -3 m'
_space_group_IT_number 225
_space_group_name_Hall '-F 4 2 3'
loop_
_atom_site_label
_atom_site_type_symbol
_atom_site_fract_x
_atom_site_fract_y
_atom_site_fract_z
Sn1 Sn 0.250 0.250 0.250
Te1 Te 0.000 0.000 0.000
Br1 Br 0.000 0.000 0.500
# Raw formation energy, eV/atom: -0.21
# M_tot, μB per formula unit: 0.00
# Energy above the most stable polymorph in this dataset, meV per atom: 42